[1]
First-principles (PBE-GGA) data for a relaxed structure of CdSi2Se, as listed in the Alexandria database.

Properties
Symmetry = P4/mmm, No. 123
Energy relative to the lowest polymorph listed for this composition = 44.48 kJ per mole of atoms
E_tot = -13.28 eV per cell
Formation energy from raw total energies = 0.493 eV per atom

a b c (Å): 3.3601 3.3601 6.9165
angles (deg): 90.00 90.00 90.00
Last column: nearest neighbours and their distance in Å.
Sites, in units of the cell vectors:
Cd1 0.5000 0.5000 0.2500  8 Si 3.09, 4 Cd 3.36, 2 Se 3.46
Si1 0.0000 0.0000 0.5359  4 Se 2.80, 1 Si 2.96, 4 Cd 3.09
Si2 0.0000 0.0000 0.9641  4 Se 2.80, 1 Si 2.96, 4 Cd 3.09
Se1 0.5000 0.5000 0.7500  8 Si 2.80



[2]
First-principles (PBE-GGA) data for a relaxed structure of CrCu3Pt, as listed in the Alexandria database.

Properties
Calculated formation energy = 1.334 eV/atom
Symmetry = Pm-3m, No. 221
Energy relative to the lowest polymorph listed for this composition = 34.47 kJ per mole of atoms
E_tot = -21.28 eV per cell

a b c (Å): 4.4047 4.4047 4.4047
angles (deg): 90.00 90.00 90.00
Last column: nearest neighbours and their distance in Å.
Sites, in units of the cell vectors:
Pt1 0.5000 0.5000 0.5000  12 Cu 3.11
Cu1 0.0000 0.0000 0.5000  2 Cr 2.20
Cu2 0.5000 0.0000 0.0000  2 Cr 2.20
Cu3 0.0000 0.5000 0.0000  2 Cr 2.20
Cr1 0.0000 0.0000 0.0000  6 Cu 2.20



[3]
First-principles (PBE-GGA) data for a relaxed structure of RbUMn2S4, as listed in the Alexandria database.

Properties
Symmetry = I222, No. 23
E_tot = -51.23 eV per cell
Formation energy from raw total energies = -0.516 eV per atom

a b c (Å): 5.8754 6.8024 6.8024
angles (deg): 74.97 64.41 64.41
Last column: nearest neighbours and their distance in Å.
Sites, in units of the cell vectors:
S1 0.9215 0.4978 0.1455  1 Mn 2.20
S2 0.5648 0.5022 0.8545  1 Mn 2.20
S3 0.4352 0.1455 0.4978  1 Mn 2.20
S4 0.0785 0.8545 0.5022  1 Mn 2.20
Mn1 0.1057 0.3943 0.3943  1 Mn 1.91
Mn2 0.8943 0.6057 0.6057  1 Mn 1.91
U1 0.5000 0.5000 0.5000  4 S 2.60
Rb1 0.0000 0.0000 0.0000  8 S 3.48-3.56



[4]
First-principles (PBE-GGA) data for a relaxed structure of AcCuPd4Pb2, as listed in the Alexandria database.

Properties
Calculated formation energy = -0.378 eV/atom
Symmetry = R-3m, No. 166
E_tot = -39.41 eV per cell

a b c (Å): 4.6028 4.6028 9.5908
angles (deg): 76.12 76.12 60.00
Last column: nearest neighbours and their distance in Å.
Sites, in units of the cell vectors:
Pd1 0.4023 0.4023 0.7932  1 Cu 2.70, 3 Pb 2.76
Pd2 0.5977 0.5977 0.2068  1 Cu 2.70, 3 Pb 2.76
Pd3 0.1360 0.1360 0.5919  3 Cu 2.79, 4 Pb 2.79-2.88
Pd4 0.8640 0.8640 0.4081  3 Cu 2.79, 4 Pb 2.79-2.88
Pb1 0.7629 0.7629 0.7112  7 Pd 2.76-2.88
Pb2 0.2371 0.2371 0.2888  7 Pd 2.76-2.88
Cu1 0.5000 0.5000 0.5000  8 Pd 2.70-2.79
Ac1 0.0000 0.0000 0.0000  6 Pd 3.27



[5]
First-principles (PBE-GGA) data for a relaxed structure of Li2CrIr, as listed in the Alexandria database.

Properties
Calculated formation energy = 0.213 eV/atom
Symmetry = Cmmm, No. 65
Energy relative to the lowest polymorph listed for this composition = 18.61 kJ per mole of atoms
E_tot = -21.46 eV per cell

a b c (Å): 2.5689 2.5689 9.2235
angles (deg): 90.00 90.00 116.24
Last column: nearest neighbours and their distance in Å.
Sites, in units of the cell vectors:
Cr1 0.5000 0.5000 0.2500  6 Cr 2.57-2.71, 4 Li 2.75
Ir1 0.5000 0.5000 0.7500  6 Ir 2.57-2.71, 4 Li 2.60
Li1 0.0000 0.0000 0.9903  6 Li 2.57-2.71, 2 Ir 2.60, 2 Cr 2.75
Li2 0.0000 0.0000 0.5097  6 Li 2.57-2.71, 2 Ir 2.60, 2 Cr 2.75



[6]
First-principles (PBE-GGA) data for a relaxed structure of Sm4YSc, as listed in the Alexandria database.

Properties
Calculated formation energy = 0.036 eV/atom
Symmetry = C2/m, No. 12
Energy relative to the lowest polymorph listed for this composition = 0.00 kJ per mole of atoms
E_tot = -31.46 eV per cell

a b c (Å): 6.1435 6.1437 6.1721
angles (deg): 99.70 80.31 60.34
Last column: nearest neighbours and their distance in Å.
Sites, in units of the cell vectors:
Y1 0.5000 0.5000 0.5000  10 Sm 3.54-3.57, 2 Sc 3.56
Sc1 0.0000 0.0000 0.0000  10 Sm 3.53-3.56, 2 Y 3.56
Sm1 0.8361 0.8364 0.5001  7 Sm 3.48-3.59, 2 Sc 3.54, 3 Y 3.54-3.57
Sm2 0.1639 0.1636 0.4999  7 Sm 3.48-3.59, 2 Sc 3.54, 3 Y 3.54-3.57
Sm3 0.3324 0.3326 0.0000  3 Sc 3.53-3.56, 7 Sm 3.55-3.57, 2 Y 3.56
Sm4 0.6676 0.6674 0.0000  3 Sc 3.53-3.56, 7 Sm 3.55-3.57, 2 Y 3.56



[7]
First-principles (PBE-GGA) data for a relaxed structure of RbNaTlAu, as listed in the Alexandria database.

Properties
Calculated formation energy = -0.182 eV/atom
Symmetry = Cm, No. 8
Energy relative to the lowest polymorph listed for this composition = 0.00 kJ per mole of atoms
E_tot = -8.66 eV per cell

a b c (Å): 5.1358 5.1358 6.9866
angles (deg): 89.78 111.52 120.41
Last column: nearest neighbours and their distance in Å.
Sites, in units of the cell vectors:
Tl1 0.4753 0.6020 0.0772  3 Au 2.96, 3 Na 3.18-3.20
Au1 0.7961 0.2643 0.0605  3 Tl 2.96, 3 Na 3.14-3.17
Na1 0.0166 0.8728 0.8894  3 Au 3.14-3.17, 3 Tl 3.18-3.20
Rb1 0.4042 0.0653 0.4695  4 Na 3.67-3.98, 4 Au 3.74-3.95, 3 Tl 3.86-3.87



[8]
First-principles (PBE-GGA) data for a relaxed structure of AgPdPb2, as listed in the Alexandria database.

Properties
Calculated formation energy = 0.059 eV/atom
Symmetry = R-3m, No. 166
Energy relative to the lowest polymorph listed for this composition = 10.58 kJ per mole of atoms
E_tot = -15.22 eV per cell

a b c (Å): 3.4263 3.4263 9.9571
angles (deg): 80.09 80.09 60.00
Last column: nearest neighbours and their distance in Å.
Sites, in units of the cell vectors:
Pb1 0.9040 0.9040 0.2879  1 Ag 2.81, 3 Pd 2.86
Pb2 0.0960 0.0960 0.7121  1 Ag 2.81, 3 Pd 2.86
Ag1 0.0000 0.0000 0.0000  2 Pb 2.81
Pd1 0.5000 0.5000 0.5000  6 Pb 2.86



[9]
First-principles (PBE-GGA) data for a relaxed structure of LaAlOsF2, as listed in the Alexandria database.

Properties
Symmetry = P4/mmm, No. 123
E_tot = -28.01 eV per cell
Formation energy from raw total energies = -0.873 eV per atom

a b c (Å): 3.7939 7.8909 3.7939
angles (deg): 90.00 90.00 90.00
Last column: nearest neighbours and their distance in Å.
Sites, in units of the cell vectors:
F1 0.5000 0.0000 0.0000  2 Al 1.90
F2 0.0000 0.0000 0.5000  2 Al 1.90
La1 0.0000 0.5000 0.0000  4 Os 2.68
Os1 0.5000 0.5000 0.5000  4 La 2.68
Al1 0.0000 0.0000 0.0000  4 F 1.90



[10]
First-principles (PBE-GGA) data for a relaxed structure of KCr3Tc, as listed in the Alexandria database.

Properties
Calculated formation energy = 2.869 eV/atom
Symmetry = Pm-3m, No. 221
Energy relative to the lowest polymorph listed for this composition = 159.35 kJ per mole of atoms
E_tot = -25.99 eV per cell

a b c (Å): 4.1507 4.1507 4.1507
angles (deg): 90.00 90.00 90.00
Last column: nearest neighbours and their distance in Å.
Sites, in units of the cell vectors:
Cr1 0.0000 0.0000 0.5000  2 K 2.08
Cr2 0.0000 0.5000 0.0000  2 K 2.08
Cr3 0.5000 0.0000 0.0000  2 K 2.08
Tc1 0.5000 0.5000 0.5000  12 Cr 2.94
K1 0.0000 0.0000 0.0000  6 Cr 2.08



[11]
First-principles (PBE-GGA) data for a relaxed structure of YTaRe2, as listed in the Alexandria database.

Properties
Calculated formation energy = 0.286 eV/atom
Symmetry = C2/m, No. 12
E_tot = -42.07 eV per cell

a b c (Å): 5.4579 5.4579 4.9190
angles (deg): 62.05 62.05 34.58
Last column: nearest neighbours and their distance in Å.
Sites, in units of the cell vectors:
Re1 0.4868 0.4868 0.5047  2 Ta 2.69, 2 Re 2.88, 2 Y 2.89
Re2 0.0132 0.0132 0.9953  2 Ta 2.69, 2 Re 2.88, 2 Y 2.89
Y1 0.2500 0.2500 0.2500  4 Re 2.89, 4 Ta 2.95
Ta1 0.7500 0.7500 0.7500  4 Re 2.69, 4 Y 2.95



[12]
First-principles (PBE-GGA) data for a relaxed structure of PmPrPu2, as listed in the Alexandria database.

Properties
Calculated formation energy = 0.230 eV/atom
Symmetry = P4/mmm, No. 123
E_tot = -37.27 eV per cell

a b c (Å): 5.0872 4.9244 4.9244
angles (deg): 90.00 90.00 90.00
Last column: nearest neighbours and their distance in Å.
Sites, in units of the cell vectors:
Pm1 0.5000 0.0000 0.0000  4 Pr 3.48, 8 Pu 3.54
Pu1 0.0000 0.0000 0.5000  4 Pu 3.48, 4 Pm 3.54, 4 Pr 3.54
Pu2 0.0000 0.5000 0.0000  4 Pu 3.48, 4 Pr 3.54, 4 Pm 3.54
Pr1 0.5000 0.5000 0.5000  4 Pm 3.48, 8 Pu 3.54



[13]
First-principles (PBE-GGA) data for a relaxed structure of Sc2SN, as listed in the Alexandria database.

Properties
Symmetry = R3m, No. 160
Energy relative to the lowest polymorph listed for this composition = 4.35 kJ per mole of atoms
E_tot = -32.44 eV per cell
Formation energy from raw total energies = -1.831 eV per atom

a b c (Å): 3.3506 3.3506 6.2918
angles (deg): 74.56 74.56 60.00
Last column: nearest neighbours and their distance in Å.
Sites, in units of the cell vectors:
N1 0.6699 0.6699 0.9903  6 Sc 2.24-2.32
Sc1 0.0662 0.0662 0.8013  3 N 2.24
Sc2 0.2648 0.2648 0.2055  3 N 2.32
S1 0.4990 0.4990 0.5029  6 Sc 2.63



[14]
First-principles (PBE-GGA) data for a relaxed structure of Er2Tm3PuTe6, as listed in the Alexandria database.

Properties
Symmetry = C2/m, No. 12
E_tot = -70.01 eV per cell
Formation energy from raw total energies = -1.191 eV per atom

a b c (Å): 4.3050 8.6865 9.6878
angles (deg): 103.11 102.84 90.00
Last column: nearest neighbours and their distance in Å.
Sites, in units of the cell vectors:
Te1 0.3318 0.4156 0.6636  3 Tm 3.07-3.09, 3 Er 3.08-3.11
Te2 0.6682 0.5844 0.3364  3 Tm 3.07-3.09, 3 Er 3.08-3.11
Te3 0.0007 0.7437 0.0014  3 Tm 3.00-3.02, 1 Er 3.00, 2 Pu 3.10
Te4 0.9993 0.2563 0.9986  3 Tm 3.00-3.02, 1 Er 3.00, 2 Pu 3.10
Te5 0.6703 0.0843 0.3406  3 Tm 3.04, 2 Er 3.04, 1 Pu 3.13
Te6 0.3297 0.9157 0.6594  3 Tm 3.04, 2 Er 3.04, 1 Pu 3.13
Pu1 0.5000 0.0000 0.0000  6 Te 3.10-3.13
Tm1 0.1640 0.8348 0.3280  6 Te 3.00-3.07
Tm2 0.5000 0.5000 0.0000  6 Te 3.02-3.09
Tm3 0.8360 0.1652 0.6720  6 Te 3.00-3.07
Er1 0.1627 0.3279 0.3254  6 Te 3.00-3.11
Er2 0.8373 0.6721 0.6746  6 Te 3.00-3.11